[1]
Entry from the Alexandria database: an optimized crystal structure of La3OsPb (GGA-PBE).

Calculated values
Energy relative to the elements ... -0.329 eV per atom
ΔE to the lowest computed polymorph ... 78 meV/atom
E_tot ... -6.27 eV per atom

a = 5.3618 Å, b = 7.8645 Å, c = 8.5569 Å
α = 117.24°, β = 94.53°, γ = 90.08°
Last column: nearest neighbours and their distance in Å.
Element x y z (fractional)
La 0.0000 0.0000 0.0000  2 Os 2.83-2.84, 1 La 3.15
La 0.0001 0.1985 0.5041  2 Os 3.02-3.06
La 0.4635 0.8386 0.2558  2 Os 2.67-2.78
La 0.5330 0.5843 0.7450  2 Os 2.67-2.78
La 0.9958 0.4012 0.0009  2 Os 2.78-2.79
La 0.9964 0.6947 0.4968  2 Os 3.02-3.06
Os 0.0514 0.5988 0.8055  4 La 2.67-2.84
Os 0.9451 0.7946 0.1952  4 La 2.67-2.83
Pb 0.4885 0.3363 0.2790  10 La 3.53-3.94
Pb 0.5078 0.0568 0.7217  9 La 3.53-3.91

=====

[2]
Entry from the Alexandria database: an optimized crystal structure of La3OsPb (GGA-PBE).

Calculated values
Energy relative to the elements ... -0.178 eV per atom
ΔE to the lowest computed polymorph ... 228 meV/atom
E_tot ... -6.12 eV per atom

a = 9.9226 Å, b = 6.5761 Å, c = 11.5275 Å
α = 90.00°, β = 124.92°, γ = 90.00°
Last column: nearest neighbours and their distance in Å.
Element x y z (fractional)
La 0.1205 0.1184 0.3636  2 Os 2.88-3.03
La 0.1205 0.3816 0.8636  2 Os 2.88-3.03
La 0.1698 0.6205 0.5455  1 Os 2.74
La 0.1698 0.8795 0.0455  1 Os 2.74
La 0.3782 0.5944 0.3191  1 Os 2.85
La 0.3782 0.9056 0.8191  1 Os 2.85
La 0.6218 0.0944 0.1809  1 Os 2.85
La 0.6218 0.4056 0.6809  1 Os 2.85
La 0.8302 0.1205 0.9545  1 Os 2.74
La 0.8302 0.3795 0.4545  1 Os 2.74
La 0.8795 0.6184 0.1364  2 Os 2.88-3.03
La 0.8795 0.8816 0.6364  2 Os 2.88-3.03
Os 0.1089 0.1464 0.6072  4 La 2.74-3.03, 1 Os 2.89
Os 0.1089 0.3536 0.1072  4 La 2.74-3.03, 1 Os 2.89
Os 0.8911 0.6464 0.8928  4 La 2.74-3.03, 1 Os 2.89
Os 0.8911 0.8536 0.3928  4 La 2.74-3.03, 1 Os 2.89
Pb 0.4614 0.1181 0.3632  1 Pb 3.19, 5 La 3.20-3.51, 1 Os 3.39
Pb 0.4614 0.3819 0.8632  1 Pb 3.19, 5 La 3.20-3.51, 1 Os 3.39
Pb 0.5386 0.6181 0.1368  1 Pb 3.19, 5 La 3.20-3.51, 1 Os 3.39
Pb 0.5386 0.8819 0.6368  1 Pb 3.19, 5 La 3.20-3.51, 1 Os 3.39

=====

[3]
Entry from the Alexandria database: an optimized crystal structure of La2OsPb (GGA-PBE).

Calculated values
Energy relative to the elements ... -0.274 eV per atom
E_tot ... -6.47 eV per atom

a = 3.5085 Å, b = 3.5160 Å, c = 8.9360 Å
α = 90.00°, β = 90.06°, γ = 90.00°
Last column: nearest neighbours and their distance in Å.
Element x y z (fractional)
La 0.0013 0.0000 0.3011  4 Os 3.05-3.06
La 0.9987 0.0000 0.6989  4 Os 3.05-3.06
Os 0.5000 0.5000 0.5000  8 La 3.05-3.06
Pb 0.5000 0.5000 0.0000  4 Pb 3.51-3.52, 8 La 3.66

=====

[4]
Entry from the Alexandria database: an optimized crystal structure of La3OsPb (GGA-PBE).

Calculated values
Energy relative to the elements ... -0.324 eV per atom
ΔE to the lowest computed polymorph ... 82 meV/atom
E_tot ... -6.27 eV per atom

a = 8.0945 Å, b = 8.0945 Å, c = 8.8691 Å
α = 90.87°, β = 90.87°, γ = 33.36°
Last column: nearest neighbours and their distance in Å.
Element x y z (fractional)
La 0.0522 0.0522 0.2918  1 Os 2.87
La 0.2425 0.2425 0.7135  2 Os 3.03
La 0.3773 0.3773 0.0518  3 Os 2.84-2.88
La 0.6227 0.6227 0.9482  3 Os 2.84-2.88
La 0.7575 0.7575 0.2865  2 Os 3.03
La 0.9478 0.9478 0.7082  1 Os 2.87
Os 0.1962 0.1962 0.0929  6 La 2.84-3.03
Os 0.8038 0.8038 0.9071  6 La 2.84-3.03
Pb 0.4010 0.4010 0.4409  1 Pb 3.23, 8 La 3.39-3.57
Pb 0.5990 0.5990 0.5591  1 Pb 3.23, 8 La 3.39-3.57

=====

[5]
Entry from the Alexandria database: an optimized crystal structure of La3OsPb (GGA-PBE).

Calculated values
Energy relative to the elements ... 0.264 eV per atom
ΔE to the lowest computed polymorph ... 671 meV/atom
E_tot ... -5.68 eV per atom

a = 4.7778 Å, b = 4.7778 Å, c = 8.3842 Å
α = 90.00°, β = 90.00°, γ = 90.00°
Last column: nearest neighbours and their distance in Å.
Element x y z (fractional)
La 0.0000 0.0000 0.0000  1 Pb 3.18
La 0.0000 0.5000 0.3375  2 Os 2.86
La 0.5000 0.0000 0.3375  2 Os 2.86
Os 0.5000 0.5000 0.1508  4 La 2.86
Pb 0.0000 0.0000 0.6211  5 La 3.18-3.37

=====

[6]
Entry from the Alexandria database: an optimized crystal structure of La3OsPb (GGA-PBE).

Calculated values
Energy relative to the elements ... 0.212 eV per atom
ΔE to the lowest computed polymorph ... 619 meV/atom
E_tot ... -5.73 eV per atom

a = 5.1425 Å, b = 5.1425 Å, c = 15.8613 Å
α = 90.00°, β = 90.00°, γ = 120.00°
Last column: nearest neighbours and their distance in Å.
Element x y z (fractional)
La 0.0000 0.0000 0.2500  3 Pb 2.97
La 0.0000 0.0000 0.7500  3 Pb 2.97
La 0.3333 0.6667 0.0540  3 Os 3.09, 1 Pb 3.11, 3 La 3.43
La 0.3333 0.6667 0.4460  3 Os 3.09, 1 Pb 3.11, 3 La 3.43
La 0.6667 0.3333 0.5540  3 Os 3.09, 1 Pb 3.11, 3 La 3.43
La 0.6667 0.3333 0.9460  3 Os 3.09, 1 Pb 3.11, 3 La 3.43
Os 0.0000 0.0000 0.0000  6 La 3.09
Os 0.0000 0.0000 0.5000  6 La 3.09
Pb 0.3333 0.6667 0.2500  5 La 2.97-3.11
Pb 0.6667 0.3333 0.7500  5 La 2.97-3.11